Computed, not measured: a geometry-optimized ScGeHRu2 structure at the PBE level of DFT.

Cell: 5.9495 5.9495 7.5093 Å, 90.00 90.00 149.70°
Fractional positions:
Sc (0.0210, 0.9790, 0.7500)
Sc (0.9790, 0.0210, 0.2500)
Ge (0.2507, 0.7493, 0.2500)
Ge (0.7493, 0.2507, 0.7500)
H (0.5000, 0.5000, 0.0000)
H (0.5000, 0.5000, 0.5000)
Ru (0.3544, 0.6456, 0.5410)
Ru (0.3544, 0.6456, 0.9590)
Ru (0.6456, 0.3544, 0.0410)
Ru (0.6456, 0.3544, 0.4590)

Properties
As for the symmetry: Cmcm (63). For the offset from the most stable computed form, the calculation gives 0 kJ/mol of formula units.

=====

Computed, not measured: a geometry-optimized Zn3C structure at the PBE level of DFT.

Cell: 5.1621 8.5384 5.0201 Å, 90.00 90.00 90.00°
Fractional positions:
Zn (0.1113, 0.0877, 0.1812)
Zn (0.1113, 0.4123, 0.1812)
Zn (0.1937, 0.2500, 0.7130)
Zn (0.3063, 0.7500, 0.2130)
Zn (0.3887, 0.5877, 0.6812)
Zn (0.3887, 0.9123, 0.6812)
Zn (0.6113, 0.0877, 0.3188)
Zn (0.6113, 0.4123, 0.3188)
Zn (0.6937, 0.2500, 0.7870)
Zn (0.8063, 0.7500, 0.2870)
Zn (0.8887, 0.5877, 0.8188)
Zn (0.8887, 0.9123, 0.8188)
C (0.0905, 0.7500, 0.5545)
C (0.4095, 0.2500, 0.0545)
C (0.5905, 0.7500, 0.9455)
C (0.9095, 0.2500, 0.4455)

Properties
As for the symmetry: Pnma (62). Its formation energy from the elements is 0.594 eV/atom.

=====

Computed, not measured: a geometry-optimized Sc4SbO structure at the PBE level of DFT.

Cell: 7.3488 7.3488 6.5508 Å, 104.72 104.72 43.26°
Fractional positions:
Sc (0.0296, 0.1739, 0.4414)
Sc (0.1739, 0.0296, 0.9414)
Sc (0.2419, 0.3635, 0.8217)
Sc (0.3635, 0.2419, 0.3217)
Sc (0.6365, 0.7581, 0.6783)
Sc (0.7581, 0.6365, 0.1783)
Sc (0.8261, 0.9704, 0.0586)
Sc (0.9704, 0.8261, 0.5586)
Sb (0.3962, 0.6038, 0.2500)
Sb (0.6038, 0.3962, 0.7500)
O (0.0000, 0.5000, 0.5000)
O (0.5000, 0.0000, 0.0000)

Properties
As for the symmetry: C2/c (15). The raw total energy comes out at -83.9 eV/cell.

=====

Computed, not measured: a geometry-optimized CaMg4Hg structure at the PBE level of DFT.

Cell: 6.0243 6.0243 6.0243 Å, 60.00 60.00 60.00°
Fractional positions:
Ca (0.0000, 0.0000, 0.0000)
Mg (0.3750, 0.3750, 0.3750)
Mg (0.3750, 0.3750, 0.8750)
Mg (0.3750, 0.8750, 0.3750)
Mg (0.8750, 0.3750, 0.3750)
Hg (0.7500, 0.7500, 0.7500)

Properties
As for the symmetry: F-43m (216). Its formation energy from the elements is -0.038 eV/atom. For the offset from the most stable computed form, the calculation gives 78 kJ/mol of formula units.

=====

Computed, not measured: a geometry-optimized LaTaTe2 structure at the PBE level of DFT.

Cell: 5.3131 3.8741 11.2010 Å, 90.00 90.00 90.00°
Fractional positions:
La (0.0000, 0.0000, 0.0000)
La (0.0000, 0.5000, 0.5000)
Ta (0.5000, 0.0000, 0.7659)
Ta (0.5000, 0.5000, 0.2659)
Te (0.0000, 0.0000, 0.7220)
Te (0.0000, 0.5000, 0.2220)
Te (0.5000, 0.0000, 0.4493)
Te (0.5000, 0.5000, 0.9493)

Properties
As for the symmetry: Amm2 (38). For the offset from the most stable computed form, the calculation gives 41 kJ/mol of formula units.

=====

Computed, not measured: a geometry-optimized CePu2Au8 structure at the PBE level of DFT.

Cell: 8.6705 8.6705 5.2509 Å, 107.26 107.26 125.24°
Fractional positions:
Ce (0.0000, 0.0000, 0.0000)
Pu (0.3152, 0.6848, 0.5000)
Pu (0.6848, 0.3152, 0.5000)
Au (0.0958, 0.3610, 0.7364)
Au (0.2020, 0.7980, 0.0000)
Au (0.3610, 0.0958, 0.7364)
Au (0.4956, 0.4956, 0.7453)
Au (0.5044, 0.5044, 0.2547)
Au (0.6390, 0.9042, 0.2636)
Au (0.7980, 0.2020, 0.0000)
Au (0.9042, 0.6390, 0.2636)

Properties
As for the symmetry: C2/m (12). Its formation energy from the elements is -0.452 eV/atom.

=====

Computed, not measured: a geometry-optimized USeS structure at the PBE level of DFT.

Cell: 4.0766 4.0766 6.3642 Å, 90.00 90.00 120.00°
Fractional positions:
U (0.0000, 0.0000, 0.0000)
Se (0.3333, 0.6667, 0.7530)
S (0.6667, 0.3333, 0.2053)

Properties
As for the symmetry: P3m1 (156). For the offset from the most stable computed form, the calculation gives 17 kJ/mol of formula units.

=====

Computed, not measured: a geometry-optimized MnZn2Ir structure at the PBE level of DFT.

Cell: 2.8224 3.9797 5.2518 Å, 90.00 105.53 90.00°
Fractional positions:
Mn (0.0000, 0.0000, 0.0000)
Zn (0.6097, 0.5000, 0.2257)
Zn (0.7573, 0.0000, 0.5017)
Ir (0.3629, 0.5000, 0.7173)

Properties
As for the symmetry: Pm (6). Its formation energy from the elements is -0.067 eV/atom.

=====

Computed, not measured: a geometry-optimized Cs4UO5 structure at the PBE level of DFT.

Cell: 7.1908 7.1908 7.1908 Å, 99.98 99.98 130.80°
Fractional positions:
Cs (0.1045, 0.7031, 0.8076)
Cs (0.2969, 0.1045, 0.4014)
Cs (0.7031, 0.8955, 0.5986)
Cs (0.8955, 0.2969, 0.1924)
U (0.4731, 0.4731, 0.0000)
O (0.1232, 0.1232, 0.0000)
O (0.2903, 0.4280, 0.7212)
O (0.4280, 0.7068, 0.1376)
O (0.5692, 0.2903, 0.8624)
O (0.7068, 0.5692, 0.2788)

Properties
As for the symmetry: I4 (79). The raw total energy comes out at -61.3 eV/cell.

=====

Computed, not measured: a geometry-optimized Al4Fe5 structure at the PBE level of DFT.

Cell: 7.2566 7.2566 4.9871 Å, 90.00 90.00 120.00°
Fractional positions:
Al (0.0000, 0.0000, 0.0000)
Al (0.0000, 0.0000, 0.5000)
Al (0.0000, 0.3744, 0.2500)
Al (0.0000, 0.6256, 0.7500)
Al (0.3744, 0.0000, 0.2500)
Al (0.3744, 0.3744, 0.7500)
Al (0.6256, 0.0000, 0.7500)
Al (0.6256, 0.6256, 0.2500)
Fe (0.0000, 0.2961, 0.7500)
Fe (0.0000, 0.7039, 0.2500)
Fe (0.2961, 0.0000, 0.7500)
Fe (0.2961, 0.2961, 0.2500)
Fe (0.3333, 0.6667, 0.0000)
Fe (0.3333, 0.6667, 0.5000)
Fe (0.6667, 0.3333, 0.0000)
Fe (0.6667, 0.3333, 0.5000)
Fe (0.7039, 0.0000, 0.2500)
Fe (0.7039, 0.7039, 0.7500)

Properties
As for the symmetry: P6_3/mcm (193). Its formation energy from the elements is -0.175 eV/atom. For the offset from the most stable computed form, the calculation gives 11 kJ/mol of formula units.

=====

Computed, not measured: a geometry-optimized Tb2Ho12Er structure at the PBE level of DFT.

Cell: 3.5448 5.3205 24.9822 Å, 90.00 94.02 90.00°
Fractional positions:
Tb (0.1426, 0.0000, 0.2808)
Tb (0.8574, 0.0000, 0.7192)
Ho (0.0693, 0.0000, 0.1370)
Ho (0.2245, 0.5000, 0.4467)
Ho (0.2855, 0.0000, 0.5724)
Ho (0.3295, 0.5000, 0.6650)
Ho (0.3962, 0.5000, 0.7948)
Ho (0.4643, 0.5000, 0.9313)
Ho (0.5357, 0.5000, 0.0687)
Ho (0.6038, 0.5000, 0.2052)
Ho (0.6705, 0.5000, 0.3350)
Ho (0.7145, 0.0000, 0.4276)
Ho (0.7755, 0.5000, 0.5533)
Ho (0.9307, 0.0000, 0.8630)
Er (0.0000, 0.0000, 0.0000)

Properties
As for the symmetry: P2/m (10). Its formation energy from the elements is 0.117 eV/atom.

=====

Computed, not measured: a geometry-optimized NbNi2HW structure at the PBE level of DFT.

Cell: 3.7931 3.7931 4.0246 Å, 90.00 90.00 90.00°
Fractional positions:
Nb (0.0000, 0.0000, 0.0000)
Ni (0.0000, 0.5000, 0.5000)
Ni (0.5000, 0.0000, 0.5000)
H (0.5000, 0.5000, 0.5000)
W (0.5000, 0.5000, 0.0000)

Properties
As for the symmetry: P4/mmm (123). For the offset from the most stable computed form, the calculation gives 0 kJ/mol of formula units.

=====

Computed, not measured: a geometry-optimized NaPrGa2I6 structure at the PBE level of DFT.

Cell: 8.7433 8.7433 8.7433 Å, 56.11 56.11 56.11°
Fractional positions:
Na (0.0000, 0.0000, 0.0000)
Pr (0.4939, 0.4939, 0.4939)
Ga (0.3047, 0.3047, 0.3047)
Ga (0.8083, 0.8083, 0.8083)
I (0.1056, 0.7059, 0.3969)
I (0.2275, 0.6063, 0.8726)
I (0.3969, 0.1056, 0.7059)
I (0.6063, 0.8726, 0.2275)
I (0.7059, 0.3969, 0.1056)
I (0.8726, 0.2275, 0.6063)

Properties
As for the symmetry: R3 (146). The raw total energy comes out at -30.9 eV/cell.

=====

Computed, not measured: a geometry-optimized BeAg2Pb structure at the PBE level of DFT.

Cell: 4.2388 4.2388 8.3930 Å, 90.00 90.00 90.00°
Fractional positions:
Be (0.0000, 0.0000, 0.0000)
Be (0.5000, 0.5000, 0.5000)
Ag (0.0000, 0.0000, 0.5000)
Ag (0.0000, 0.5000, 0.2500)
Ag (0.5000, 0.0000, 0.7500)
Ag (0.5000, 0.5000, 0.0000)
Pb (0.0000, 0.5000, 0.7500)
Pb (0.5000, 0.0000, 0.2500)

Properties
As for the symmetry: I-4m2 (119). Its formation energy from the elements is 0.409 eV/atom. For the offset from the most stable computed form, the calculation gives 76 kJ/mol of formula units.

=====

Computed, not measured: a geometry-optimized AcTbPmHg structure at the PBE level of DFT.

Cell: 3.7993 3.7993 8.9733 Å, 90.00 90.00 90.00°
Fractional positions:
Ac (0.0000, 0.0000, 0.0000)
Tb (0.5000, 0.5000, 0.2900)
Pm (0.5000, 0.5000, 0.7044)
Hg (0.0000, 0.0000, 0.4863)

Properties
As for the symmetry: P4mm (99). Its formation energy from the elements is -0.214 eV/atom. For the offset from the most stable computed form, the calculation gives 0 kJ/mol of formula units.

=====

Computed, not measured: a geometry-optimized TlIn7Hg5 structure at the PBE level of DFT.

Cell: 6.2216 6.2216 10.5436 Å, 92.50 92.50 118.31°
Fractional positions:
Tl (0.0000, 0.0000, 0.0000)
In (0.3127, 0.8604, 0.5418)
In (0.3547, 0.6425, 0.0551)
In (0.4059, 0.4059, 0.4523)
In (0.6425, 0.3547, 0.0551)
In (0.8241, 0.8241, 0.3165)
In (0.8336, 0.8336, 0.6537)
In (0.8604, 0.3127, 0.5418)
Hg (0.0068, 0.3857, 0.2617)
Hg (0.3420, 0.3420, 0.7499)
Hg (0.3857, 0.0068, 0.2617)
Hg (0.5167, 0.9617, 0.8283)
Hg (0.9617, 0.5167, 0.8283)

Properties
As for the symmetry: Cm (8). Its formation energy from the elements is 0.023 eV/atom.

=====

Computed, not measured: a geometry-optimized SrCdPO4 structure at the PBE level of DFT.

Cell: 6.6154 6.6154 6.6154 Å, 126.36 110.98 92.81°
Fractional positions:
Sr (0.0000, 0.0000, 0.0000)
Sr (0.5000, 0.0000, 0.5000)
Cd (0.5000, 0.0000, 0.0000)
Cd (0.5000, 0.5000, 0.5000)
P (0.1287, 0.3787, 0.7500)
P (0.8713, 0.6213, 0.2500)
O (0.1379, 0.7153, 0.4226)
O (0.2073, 0.2847, 0.9226)
O (0.2320, 0.2675, 0.5355)
O (0.2320, 0.6965, 0.9645)
O (0.7680, 0.3035, 0.0355)
O (0.7680, 0.7325, 0.4645)
O (0.7927, 0.7153, 0.0774)
O (0.8621, 0.2847, 0.5774)

Properties
As for the symmetry: Imma (74). The raw total energy comes out at -84.7 eV/cell.

=====

Computed, not measured: a geometry-optimized La4Te3S structure at the PBE level of DFT.

Cell: 15.1747 15.1747 15.1747 Å, 16.78 16.78 16.78°
Fractional positions:
La (0.1239, 0.1239, 0.1239)
La (0.3669, 0.3669, 0.3669)
La (0.6331, 0.6331, 0.6331)
La (0.8761, 0.8761, 0.8761)
Te (0.2543, 0.2543, 0.2543)
Te (0.5000, 0.5000, 0.5000)
Te (0.7457, 0.7457, 0.7457)
S (0.0000, 0.0000, 0.0000)

Properties
As for the symmetry: R-3m (166). For the offset from the most stable computed form, the calculation gives 0 kJ/mol of formula units.

=====

Computed, not measured: a geometry-optimized MgTe2Mo structure at the PBE level of DFT.

Cell: 9.2389 3.5137 6.6288 Å, 90.00 99.37 90.00°
Fractional positions:
Mg (0.0000, 0.0000, 0.0000)
Mg (0.5000, 0.5000, 0.0000)
Te (0.2523, 0.0000, 0.8554)
Te (0.4798, 0.0000, 0.3440)
Te (0.7523, 0.5000, 0.8554)
Te (0.9798, 0.5000, 0.3440)
Mo (0.2553, 0.5000, 0.1936)
Mo (0.7553, 0.0000, 0.1936)

Properties
As for the symmetry: Cm (8). The raw total energy comes out at -37.2 eV/cell.

=====

Computed, not measured: a geometry-optimized Pm2SmAg5 structure at the PBE level of DFT.

Cell: 5.1545 5.1545 14.4477 Å, 90.00 90.00 90.00°
Fractional positions:
Pm (0.0000, 0.0000, 0.2307)
Pm (0.0000, 0.0000, 0.7693)
Pm (0.5000, 0.5000, 0.2693)
Pm (0.5000, 0.5000, 0.7307)
Sm (0.0000, 0.0000, 0.5000)
Sm (0.5000, 0.5000, 0.0000)
Ag (0.0000, 0.0000, 0.0000)
Ag (0.0000, 0.5000, 0.1168)
Ag (0.0000, 0.5000, 0.3832)
Ag (0.0000, 0.5000, 0.6168)
Ag (0.0000, 0.5000, 0.8832)
Ag (0.5000, 0.0000, 0.1168)
Ag (0.5000, 0.0000, 0.3832)
Ag (0.5000, 0.0000, 0.6168)
Ag (0.5000, 0.0000, 0.8832)
Ag (0.5000, 0.5000, 0.5000)

Properties
As for the symmetry: I4/mmm (139). Its formation energy from the elements is -0.209 eV/atom.